# 1
Ba2SbOs | PBE-GGA | optimized geometry

Summary:
* electronic total energy: -17.65 eV per cell
* symmetry: No. 71
* ρ: 7.8 g/cm³
* D(E_F): 6.12 states/eV/f.u.
* ΔE_f (raw): 0.388 eV/atom

Unit cell a=5.923 b=5.923 c=5.923 alpha=127.85 beta=128.18 gamma=76.60
Last column: magnetic moment on the atom in μB.
Sites, in units of the cell vectors:
Ba (0.001, 0.001, 0.000)  -0.02
Ba (0.499, 0.499, 0.000)  -0.02
Os (0.750, 0.250, 0.500)  0.83
Sb (0.250, 0.750, 0.500)  0.01



# 2
BaSbOs2 | PBE-GGA | optimized geometry

Summary:
* electronic total energy: -23.61 eV per cell
* symmetry: No. 123
* ρ: 12.7 g/cm³
* D(E_F): 6.51 states/eV/f.u.
* ΔE_f (raw): 1.224 eV/atom

Unit cell a=3.855 b=4.664 c=4.664 alpha=90.00 beta=90.00 gamma=90.00
Sites, in units of the cell vectors:
Ba (0.500, 0.000, 0.500)
Os (0.000, 0.000, 0.000)
Os (0.000, 0.500, 0.500)
Sb (0.500, 0.500, 0.000)



# 3
Ba2SbOs | PBE-GGA | optimized geometry

Summary:
* electronic total energy: -16.91 eV per cell
* symmetry: No. 166
* ρ: 7.3 g/cm³
* D(E_F): 2.59 states/eV/f.u.
* ΔE_f (raw): 0.573 eV/atom

Unit cell a=10.521 b=10.521 c=10.521 alpha=21.13 beta=21.13 gamma=21.13
Last column: magnetic moment on the atom in μB.
Sites, in units of the cell vectors:
Os (0.250, 0.250, 0.250)  0.33
Ba (0.989, 0.989, 0.989)  -0.01
Ba (0.511, 0.511, 0.511)  -0.01
Sb (0.750, 0.750, 0.750)  0.00



# 4
Ba2SbOs | PBE-GGA | optimized geometry

Summary:
* electronic total energy: -17.39 eV per cell
* symmetry: No. 216
* ρ: 8.6 g/cm³
* D(E_F): 6.21 states/eV/f.u.
* ΔE_f (raw): 0.452 eV/atom

Unit cell a=5.433 b=5.433 c=5.433 alpha=120.02 beta=120.02 gamma=89.97
Last column: magnetic moment on the atom in μB.
Sites, in units of the cell vectors:
Ba (0.000, 0.000, 0.000)  0.00
Ba (0.250, 0.750, 0.500)  0.02
Os (0.500, 0.500, 0.000)  0.37
Sb (0.750, 0.250, 0.500)  0.00



# 5
BaSb3Os | PBE-GGA | optimized geometry

Summary:
* electronic total energy: -13.32 eV per cell
* symmetry: No. 221
* ρ: 5.2 g/cm³
* D(E_F): 11.78 states/eV/f.u.
* offset from the most stable computed form: 2.3065 eV/atom
* ΔE_f (raw): 2.439 eV/atom

Unit cell a=6.033 b=6.033 c=6.033 alpha=90.00 beta=90.00 gamma=90.00
Last column: magnetic moment on the atom in μB.
Sites, in units of the cell vectors:
Os (0.500, 0.500, 0.500)  -0.10
Sb (0.000, 0.000, 0.500)  0.01
Sb (0.500, 0.000, 0.000)  -0.02
Sb (0.000, 0.500, 0.000)  -0.01
Ba (0.000, 0.000, 0.000)  0.00



# 6
BaSbOs2 | PBE-GGA | optimized geometry

Summary:
* electronic total energy: -23.44 eV per cell
* symmetry: No. 12
* ρ: 12.6 g/cm³
* D(E_F): 5.35 states/eV/f.u.
* ΔE_f (raw): 1.266 eV/atom

Unit cell a=5.834 b=5.834 c=3.052 alpha=74.92 beta=74.92 gamma=113.05
Sites, in units of the cell vectors:
Os (0.000, 0.000, 0.000)
Os (0.500, 0.500, 0.000)
Ba (0.000, 0.500, 0.500)
Sb (0.500, 0.000, 0.500)



# 7
BaSbOs2 | PBE-GGA | optimized geometry

Summary:
* electronic total energy: -23.02 eV per cell
* symmetry: No. 47
* ρ: 12.3 g/cm³
* D(E_F): 5.33 states/eV/f.u.
* ΔE_f (raw): 1.372 eV/atom

Unit cell a=3.225 b=5.421 c=4.925 alpha=90.00 beta=90.00 gamma=90.00
Last column: magnetic moment on the atom in μB.
Sites, in units of the cell vectors:
Sb (0.500, 0.000, 0.500)  0.00
Os (0.500, 0.500, 0.000)  0.50
Os (0.000, 0.000, 0.000)  -0.02
Ba (0.000, 0.500, 0.500)  0.01



# 8
BaSbOs | PBE-GGA | optimized geometry

Summary:
* electronic total energy: -17.16 eV per cell
* symmetry: No. 187
* ρ: 8.3 g/cm³
* D(E_F): 3.24 states/eV/f.u.
* ΔE_f (raw): 0.039 eV/atom

Unit cell a=4.507 b=4.507 c=5.105 alpha=90.00 beta=90.00 gamma=120.00
Sites, in units of the cell vectors:
Sb (0.667, 0.333, 0.500)
Os (0.333, 0.667, 0.500)
Ba (0.000, 0.000, 0.000)



# 9
BaSbOs | PBE-GGA | optimized geometry

Summary:
* electronic total energy: -12.38 eV per cell
* symmetry: No. 216
* ρ: 7.4 g/cm³
* D(E_F): 8.79 states/eV/f.u.
* ΔE_f (raw): 1.633 eV/atom

Unit cell a=5.228 b=5.228 c=5.228 alpha=60.00 beta=60.00 gamma=60.00
Last column: magnetic moment on the atom in μB.
Sites, in units of the cell vectors:
Sb (0.500, 0.500, 0.500)  -0.02
Os (0.000, 0.000, 0.000)  1.25
Ba (0.750, 0.750, 0.750)  0.00



# 10
Ba2SbOs | PBE-GGA | optimized geometry

Summary:
* electronic total energy: -17.72 eV per cell
* symmetry: No. 123
* ρ: 7.9 g/cm³
* D(E_F): 5.25 states/eV/f.u.
* ΔE_f (raw): 0.369 eV/atom

Unit cell a=5.136 b=5.136 c=4.691 alpha=90.00 beta=90.00 gamma=90.00
Last column: magnetic moment on the atom in μB.
Sites, in units of the cell vectors:
Sb (0.000, 0.500, 0.500)  0.00
Os (0.500, 0.000, 0.500)  0.94
Ba (0.000, 0.000, 0.000)  -0.03
Ba (0.500, 0.500, 0.000)  -0.03



# 11
BaSbOs2 | PBE-GGA | optimized geometry

Summary:
* electronic total energy: -23.31 eV per cell
* symmetry: No. 119
* ρ: 12.2 g/cm³
* D(E_F): 4.85 states/eV/f.u.
* ΔE_f (raw): 1.298 eV/atom

Unit cell a=5.121 b=5.121 c=5.121 alpha=124.94 beta=124.94 gamma=81.63
Last column: magnetic moment on the atom in μB.
Sites, in units of the cell vectors:
Os (0.000, 0.000, 0.000)  0.79
Os (0.250, 0.750, 0.500)  0.26
Sb (0.500, 0.500, 0.000)  -0.01
Ba (0.750, 0.250, 0.500)  0.01



# 12
BaSbOs | PBE-GGA | optimized geometry

Summary:
* electronic total energy: -15.71 eV per cell
* symmetry: No. 216
* ρ: 8.8 g/cm³
* D(E_F): 2.82 states/eV/f.u.
* ΔE_f (raw): 0.521 eV/atom

Unit cell a=4.925 b=4.925 c=4.925 alpha=60.00 beta=60.00 gamma=60.00
Sites, in units of the cell vectors:
Ba (0.500, 0.500, 0.500)
Sb (0.000, 0.000, 0.000)
Os (0.750, 0.750, 0.750)



# 13
BaSb2TeOs | PBE-GGA | optimized geometry

Summary:
* electronic total energy: -25.03 eV per cell
* symmetry: No. 123
* ρ: 7.3 g/cm³
* D(E_F): 3.18 states/eV/f.u.
* offset from the most stable computed form: 0.0000 eV/atom
* ΔE_f (raw): -0.099 eV/atom

Unit cell a=5.090 b=5.090 c=6.164 alpha=90.00 beta=90.00 gamma=90.00
Sites, in units of the cell vectors:
Ba (0.500, 0.500, 0.500)
Sb (0.500, 0.000, 0.000)
Sb (0.000, 0.500, 0.000)
Os (0.000, 0.000, 0.000)
Te (0.000, 0.000, 0.500)



# 14
BaSb2TeOs | PBE-GGA | optimized geometry

Summary:
* electronic total energy: -14.24 eV per cell
* symmetry: No. 123
* ρ: 4.7 g/cm³
* D(E_F): 9.40 states/eV/f.u.
* offset from the most stable computed form: 2.1582 eV/atom
* ΔE_f (raw): 2.060 eV/atom

Unit cell a=6.283 b=6.283 c=6.224 alpha=90.00 beta=90.00 gamma=90.00
Last column: magnetic moment on the atom in μB.
Sites, in units of the cell vectors:
Sb (0.500, 0.000, 0.000)  -0.08
Sb (0.000, 0.500, 0.000)  -0.08
Te (0.000, 0.000, 0.500)  -0.01
Os (0.500, 0.500, 0.500)  3.42
Ba (0.000, 0.000, 0.000)  0.03



# 15
BaSbTe2Os | PBE-GGA | optimized geometry

Summary:
* electronic total energy: -24.21 eV per cell
* symmetry: No. 123
* ρ: 7.3 g/cm³
* D(E_F): 5.11 states/eV/f.u.
* ΔE_f (raw): -0.130 eV/atom

Unit cell a=5.654 b=5.654 c=4.993 alpha=90.00 beta=90.00 gamma=90.00
Last column: magnetic moment on the atom in μB.
Sites, in units of the cell vectors:
Te (0.500, 0.000, 0.000)  0.05
Te (0.000, 0.500, 0.000)  0.05
Os (0.000, 0.000, 0.000)  0.54
Ba (0.500, 0.500, 0.500)  0.01
Sb (0.000, 0.000, 0.500)  -0.01



# 16
Ba4ScOs | PBE-GGA | optimized geometry

Summary:
* electronic total energy: -17.26 eV per cell
* symmetry: No. 216
* ρ: 5.7 g/cm³
* D(E_F): 9.83 states/eV/f.u.

Unit cell a=6.846 b=6.846 c=6.846 alpha=60.00 beta=60.00 gamma=60.00
Last column: magnetic moment on the atom in μB.
Sites, in units of the cell vectors:
Sc (0.000, 0.000, 0.000)  0.68
Ba (0.376, 0.376, 0.872)  0.12
Ba (0.376, 0.376, 0.376)  0.12
Ba (0.872, 0.376, 0.376)  0.12
Ba (0.376, 0.872, 0.376)  0.12
Os (0.750, 0.750, 0.750)  -0.96



# 17
BaSc2Os | PBE-GGA | optimized geometry

Summary:
* electronic total energy: -25.60 eV per cell
* symmetry: No. 160
* ρ: 5.8 g/cm³
* D(E_F): 3.89 states/eV/f.u.
* offset from the most stable computed form: 0.1621 eV/atom

Unit cell a=4.320 b=4.320 c=7.789 alpha=73.92 beta=73.92 gamma=60.00
Last column: magnetic moment on the atom in μB.
Sites, in units of the cell vectors:
Sc (0.709, 0.709, 0.872)  0.02
Sc (0.956, 0.956, 0.131)  0.05
Os (0.332, 0.332, 0.003)  -0.01
Ba (0.502, 0.502, 0.493)  0.11



# 18
BaSc2Os | PBE-GGA | optimized geometry

Summary:
* electronic total energy: -47.01 eV per cell
* symmetry: No. 141
* ρ: 4.1 g/cm³
* D(E_F): 2.28 states/eV/f.u.
* offset from the most stable computed form: 0.6866 eV/atom

Unit cell a=7.683 b=7.683 c=7.907 alpha=60.93 beta=60.93 gamma=90.00
Sites, in units of the cell vectors:
Os (0.750, 0.250, 0.500)
Os (0.000, 0.000, 0.000)
Ba (0.250, 0.750, 0.500)
Ba (0.500, 0.500, 0.000)
Sc (0.875, 0.125, 0.750)
Sc (0.875, 0.625, 0.250)
Sc (0.375, 0.125, 0.750)
Sc (0.875, 0.125, 0.250)



# 19
Ba2ScOs | PBE-GGA | optimized geometry

Summary:
* electronic total energy: -20.31 eV per cell
* symmetry: No. 99
* ρ: 6.4 g/cm³
* D(E_F): 4.25 states/eV/f.u.
* offset from the most stable computed form: 0.0618 eV/atom

Unit cell a=3.624 b=3.624 c=10.134 alpha=90.00 beta=90.00 gamma=89.99
Last column: magnetic moment on the atom in μB.
Sites, in units of the cell vectors:
Sc (0.500, 0.500, 0.662)  0.07
Ba (0.000, 0.000, 0.942)  0.17
Ba (0.500, 0.500, 0.339)  0.04
Os (0.000, 0.000, 0.557)  0.14



# 20
Ba2ScOs | PBE-GGA | optimized geometry

Summary:
* electronic total energy: -20.55 eV per cell
* symmetry: No. 8
* ρ: 5.3 g/cm³
* D(E_F): 4.99 states/eV/f.u.
* offset from the most stable computed form: 0.0000 eV/atom

Unit cell a=4.561 b=4.561 c=9.265 alpha=75.85 beta=75.85 gamma=59.89
Sites, in units of the cell vectors:
Ba (0.961, 0.961, 0.114)
Ba (0.789, 0.789, 0.636)
Os (0.542, 0.542, 0.374)
Sc (0.208, 0.208, 0.376)



# 21
BaSc2Os | PBE-GGA | optimized geometry

Summary:
* electronic total energy: -25.18 eV per cell
* symmetry: No. 6
* ρ: 5.5 g/cm³
* D(E_F): 3.56 states/eV/f.u.
* offset from the most stable computed form: 0.2674 eV/atom

Unit cell a=4.532 b=4.214 c=6.979 alpha=72.60 beta=90.00 gamma=90.00
Sites, in units of the cell vectors:
Ba (0.000, 0.521, 0.580)
Sc (0.500, 0.280, 0.068)
Sc (0.000, 0.804, 0.019)
Os (0.500, 0.896, 0.833)



# 22
BaScOs4 | PBE-GGA | optimized geometry

Summary:
* electronic total energy: -50.69 eV per cell
* symmetry: No. 216
* ρ: 13.9 g/cm³
* D(E_F): 10.26 states/eV/f.u.

Unit cell a=5.426 b=5.426 c=5.426 alpha=60.00 beta=60.00 gamma=60.00
Sites, in units of the cell vectors:
Sc (0.750, 0.750, 0.750)
Os (0.376, 0.376, 0.376)
Os (0.376, 0.872, 0.376)
Os (0.872, 0.376, 0.376)
Os (0.376, 0.376, 0.872)
Ba (0.000, 0.000, 0.000)



# 23
Ba2ScOs | PBE-GGA | optimized geometry

Summary:
* electronic total energy: -17.63 eV per cell
* symmetry: No. 65
* ρ: 7.1 g/cm³
* D(E_F): 3.92 states/eV/f.u.
* offset from the most stable computed form: 0.7321 eV/atom

Unit cell a=5.758 b=7.469 c=3.889 alpha=58.65 beta=89.99 gamma=118.23
Sites, in units of the cell vectors:
Sc (0.500, 0.000, 0.500)
Os (0.500, 0.500, 0.000)
Ba (0.000, 0.000, 0.000)
Ba (0.000, 0.500, 0.500)



# 24
BaSc2Os | PBE-GGA | optimized geometry

Summary:
* electronic total energy: -23.53 eV per cell
* symmetry: No. 12
* ρ: 7.7 g/cm³
* D(E_F): 2.59 states/eV/f.u.
* offset from the most stable computed form: 0.6807 eV/atom

Unit cell a=5.089 b=7.244 c=3.554 alpha=60.80 beta=89.89 gamma=122.78
Sites, in units of the cell vectors:
Ba (0.500, 0.500, 0.000)
Os (0.500, 0.000, 0.500)
Sc (0.000, 0.500, 0.500)
Sc (0.000, 0.000, 0.000)



# 25
BaSc2Os | PBE-GGA | optimized geometry

Summary:
* electronic total energy: -23.69 eV per cell
* symmetry: No. 160
* ρ: 6.6 g/cm³
* D(E_F): 6.58 states/eV/f.u.
* offset from the most stable computed form: 0.6392 eV/atom

Unit cell a=10.694 b=10.694 c=10.694 alpha=18.24 beta=18.24 gamma=18.24
Last column: magnetic moment on the atom in μB.
Sites, in units of the cell vectors:
Sc (0.261, 0.261, 0.261)  0.08
Sc (0.016, 0.016, 0.016)  0.01
Ba (0.484, 0.484, 0.484)  0.00
Os (0.739, 0.739, 0.739)  0.03



# 26
BaSc2Os | PBE-GGA | optimized geometry

Summary:
* electronic total energy: -25.28 eV per cell
* symmetry: No. 25
* ρ: 6.3 g/cm³
* D(E_F): 4.42 states/eV/f.u.
* offset from the most stable computed form: 0.2418 eV/atom

Unit cell a=3.531 b=3.907 c=8.023 alpha=90.00 beta=90.00 gamma=90.00
Sites, in units of the cell vectors:
Os (0.500, 0.500, 0.851)
Ba (0.000, 0.000, 0.538)
Sc (0.000, 0.000, 0.944)
Sc (0.500, 0.500, 0.166)



# 27
BaSc3Os | PBE-GGA | optimized geometry

Summary:
* electronic total energy: -32.49 eV per cell
* symmetry: No. 221
* ρ: 5.4 g/cm³
* D(E_F): 6.58 states/eV/f.u.
* offset from the most stable computed form: 0.0000 eV/atom

Unit cell a=5.225 b=5.225 c=5.225 alpha=90.00 beta=90.00 gamma=90.00
Sites, in units of the cell vectors:
Os (0.000, 0.000, 0.000)
Sc (0.500, 0.000, 0.000)
Sc (0.000, 0.000, 0.500)
Sc (0.000, 0.500, 0.000)
Ba (0.500, 0.500, 0.500)



# 28
Ba2ScOs | PBE-GGA | optimized geometry

Summary:
* electronic total energy: -17.77 eV per cell
* symmetry: No. 225
* ρ: 7.3 g/cm³
* D(E_F): 4.46 states/eV/f.u.
* offset from the most stable computed form: 0.6950 eV/atom

Unit cell a=5.475 b=5.475 c=5.475 alpha=60.00 beta=60.00 gamma=60.00
Sites, in units of the cell vectors:
Os (0.500, 0.500, 0.500)
Ba (0.750, 0.750, 0.750)
Ba (0.250, 0.250, 0.250)
Sc (0.000, 0.000, 0.000)



# 29
BaSc2Os | PBE-GGA | optimized geometry

Summary:
* electronic total energy: -25.04 eV per cell
* symmetry: No. 71
* ρ: 6.3 g/cm³
* D(E_F): 3.75 states/eV/f.u.
* offset from the most stable computed form: 0.3025 eV/atom

Unit cell a=6.381 b=6.381 c=6.381 alpha=148.49 beta=124.99 gamma=64.79
Sites, in units of the cell vectors:
Os (0.750, 0.250, 0.500)
Sc (0.568, 0.568, 0.000)
Sc (0.932, 0.932, 0.000)
Ba (0.250, 0.750, 0.500)



# 30
Ba2ScOs | PBE-GGA | optimized geometry

Summary:
* electronic total energy: -20.07 eV per cell
* symmetry: No. 44
* ρ: 6.2 g/cm³
* D(E_F): 3.19 states/eV/f.u.
* offset from the most stable computed form: 0.1220 eV/atom

Unit cell a=6.850 b=6.850 c=6.850 alpha=147.14 beta=127.60 gamma=63.25
Sites, in units of the cell vectors:
Ba (0.691, 0.191, 0.500)
Ba (0.007, 0.007, 0.000)
Os (0.470, 0.470, 0.000)
Sc (0.332, 0.832, 0.500)